one:
Entry from Alexandria via LeMat-Bulk: an optimized crystal structure of BaP2H4O8 (PBEsol).

a = 7.286 Å, b = 7.291 Å, c = 7.822 Å
α = 103.42°, β = 93.26°, γ = 104.91°
Positions (direct):
Ba (0.226, 0.288, 0.129)
Ba (0.774, 0.712, 0.871)
P (0.246, 0.745, 0.918)
P (0.337, 0.234, 0.597)
P (0.663, 0.766, 0.403)
P (0.754, 0.255, 0.082)
H (0.159, 0.386, 0.768)
H (0.403, 0.910, 0.738)
H (0.413, 0.788, 0.183)
H (0.500, 0.000, 0.500)
H (0.500, 0.500, 0.500)
H (0.587, 0.212, 0.817)
H (0.597, 0.090, 0.262)
H (0.841, 0.614, 0.232)
O (0.100, 0.557, 0.811)
O (0.156, 0.906, 0.988)
O (0.216, 0.261, 0.757)
O (0.225, 0.171, 0.418)
O (0.352, 0.682, 0.070)
O (0.419, 0.816, 0.813)
O (0.442, 0.077, 0.634)
O (0.500, 0.429, 0.624)
O (0.500, 0.571, 0.376)
O (0.558, 0.923, 0.366)
O (0.581, 0.184, 0.187)
O (0.648, 0.318, 0.930)
O (0.775, 0.829, 0.582)
O (0.784, 0.739, 0.243)
O (0.844, 0.094, 0.012)
O (0.900, 0.443, 0.189)

As for the crystal system: triclinic.

two:
Entry from Alexandria via LeMat-Bulk: an optimized crystal structure of BaP2H4O8 (PBEsol).

a = 7.638 Å, b = 10.538 Å, c = 8.546 Å
α = 90.00°, β = 90.00°, γ = 90.00°
Positions (direct):
Ba (0.250, 0.250, 0.104)
Ba (0.250, 0.250, 0.604)
Ba (0.750, 0.750, 0.396)
Ba (0.750, 0.750, 0.896)
P (0.075, 0.578, 0.208)
P (0.075, 0.922, 0.708)
P (0.425, 0.578, 0.708)
P (0.425, 0.922, 0.208)
P (0.575, 0.078, 0.792)
P (0.575, 0.422, 0.292)
P (0.925, 0.078, 0.292)
P (0.925, 0.422, 0.792)
H (0.088, 0.578, 0.702)
H (0.088, 0.922, 0.202)
H (0.179, 0.615, 0.459)
H (0.179, 0.885, 0.959)
H (0.321, 0.615, 0.959)
H (0.321, 0.885, 0.459)
H (0.412, 0.578, 0.202)
H (0.412, 0.922, 0.702)
H (0.588, 0.078, 0.298)
H (0.588, 0.422, 0.798)
H (0.679, 0.115, 0.541)
H (0.679, 0.385, 0.041)
H (0.821, 0.115, 0.041)
H (0.821, 0.385, 0.541)
H (0.912, 0.078, 0.798)
H (0.912, 0.422, 0.298)
O (0.034, 0.066, 0.743)
O (0.034, 0.434, 0.243)
O (0.079, 0.145, 0.365)
O (0.079, 0.355, 0.865)
O (0.096, 0.647, 0.372)
O (0.096, 0.853, 0.872)
O (0.247, 0.576, 0.117)
O (0.247, 0.924, 0.617)
O (0.253, 0.576, 0.617)
O (0.253, 0.924, 0.117)
O (0.404, 0.647, 0.872)
O (0.404, 0.853, 0.372)
O (0.421, 0.145, 0.865)
O (0.421, 0.355, 0.365)
O (0.466, 0.066, 0.243)
O (0.466, 0.434, 0.743)
O (0.534, 0.566, 0.257)
O (0.534, 0.934, 0.757)
O (0.579, 0.645, 0.635)
O (0.579, 0.855, 0.135)
O (0.596, 0.147, 0.628)
O (0.596, 0.353, 0.128)
O (0.747, 0.076, 0.883)
O (0.747, 0.424, 0.383)
O (0.753, 0.076, 0.383)
O (0.753, 0.424, 0.883)
O (0.904, 0.147, 0.128)
O (0.904, 0.353, 0.628)
O (0.921, 0.645, 0.135)
O (0.921, 0.855, 0.635)
O (0.966, 0.566, 0.757)
O (0.966, 0.934, 0.257)

As for the crystal system: orthorhombic.

Each structure's energy above the most stable one, in meV/atom: one 26; two 0.

one:
Entry from Alexandria via LeMat-Bulk: an optimized crystal structure of BaLiHg (PBEsol).

a = 4.938 Å, b = 4.938 Å, c = 4.381 Å
α = 90.00°, β = 90.00°, γ = 120.00°
Positions (direct):
Ba (0.000, 0.000, 0.000)
Li (0.667, 0.333, 0.500)
Hg (0.333, 0.667, 0.500)

As for the crystal system: hexagonal.

two:
Entry from Alexandria via LeMat-Bulk: an optimized crystal structure of BaLiHg (PBEsol).

a = 6.287 Å, b = 6.287 Å, c = 6.287 Å
α = 143.37°, β = 143.37°, γ = 52.77°
Positions (direct):
Ba (0.000, 0.000, 0.000)
Li (0.716, 0.716, 0.000)
Hg (0.314, 0.314, 0.000)

As for the crystal system: tetragonal.

Each structure's energy above the most stable one, in meV/atom: one 0; two 33.

one:
Entry from Alexandria via LeMat-Bulk: an optimized crystal structure of BaMn2Hg (PBEsol).

a = 6.080 Å, b = 6.080 Å, c = 6.080 Å
α = 147.42°, β = 125.84°, γ = 64.64°
Positions (direct):
Ba (0.000, 0.000, 0.000)
Mn (0.284, 0.784, 0.500)
Mn (0.716, 0.216, 0.500)
Hg (0.500, 0.500, 0.000)

As for the crystal system: orthorhombic.

two:
Entry from Alexandria via LeMat-Bulk: an optimized crystal structure of BaMn2Hg (PBEsol).

a = 6.171 Å, b = 6.171 Å, c = 3.191 Å
α = 104.33°, β = 104.33°, γ = 117.84°
Positions (direct):
Ba (0.000, 0.000, 0.000)
Mn (0.000, 0.500, 0.500)
Mn (0.500, 0.000, 0.500)
Hg (0.500, 0.500, 0.000)

As for the crystal system: monoclinic.

Each structure's energy above the most stable one, in meV/atom: one 0; two 137.

one:
Entry from Alexandria via LeMat-Bulk: an optimized crystal structure of BaNa2Hg2 (PBEsol).

a = 8.482 Å, b = 8.482 Å, c = 4.444 Å
α = 90.00°, β = 90.00°, γ = 90.00°
Positions (direct):
Ba (0.000, 0.000, 0.000)
Ba (0.500, 0.500, 0.000)
Na (0.158, 0.342, 0.500)
Na (0.342, 0.842, 0.500)
Na (0.658, 0.158, 0.500)
Na (0.842, 0.658, 0.500)
Hg (0.123, 0.623, 0.000)
Hg (0.377, 0.123, 0.000)
Hg (0.623, 0.877, 0.000)
Hg (0.877, 0.377, 0.000)

As for the crystal system: tetragonal.

two:
Entry from Alexandria via LeMat-Bulk: an optimized crystal structure of BaNa2Hg2 (PBEsol).

a = 8.023 Å, b = 8.023 Å, c = 8.023 Å
α = 146.72°, β = 146.72°, γ = 47.77°
Positions (direct):
Ba (0.000, 0.000, 0.000)
Na (0.250, 0.750, 0.500)
Na (0.750, 0.250, 0.500)
Hg (0.398, 0.398, 0.000)
Hg (0.602, 0.602, 0.000)

As for the crystal system: tetragonal.

Each structure's energy above the most stable one, in meV/atom: one 74; two 0.

one:
Entry from Alexandria via LeMat-Bulk: an optimized crystal structure of Ba2HgO (PBEsol).

a = 7.103 Å, b = 7.103 Å, c = 7.103 Å
α = 115.38°, β = 115.38°, γ = 98.21°
Positions (direct):
Ba (0.030, 0.125, 0.405)
Ba (0.375, 0.970, 0.095)
Ba (0.720, 0.625, 0.595)
Ba (0.875, 0.280, 0.905)
Hg (0.250, 0.750, 0.500)
Hg (0.500, 0.500, 0.000)
O (0.000, 0.000, 0.000)
O (0.750, 0.250, 0.500)

As for the crystal system: tetragonal.

two:
Entry from Alexandria via LeMat-Bulk: an optimized crystal structure of Ba2HgO (PBEsol).

a = 5.401 Å, b = 5.401 Å, c = 5.401 Å
α = 60.00°, β = 60.00°, γ = 60.00°
Positions (direct):
Ba (0.250, 0.250, 0.250)
Ba (0.750, 0.750, 0.750)
Hg (0.000, 0.000, 0.000)
O (0.500, 0.500, 0.500)

As for the crystal system: cubic.

Each structure's energy above the most stable one, in meV/atom: one 0; two 700.